1.
# SrLa4Sc, optimized geometry, DFT GGA-PBE
data_SrLa4Sc
_space_group_name_H-M_alt 'F -4 3 m'
_space_group_IT_number 216
_space_group_name_Hall 'F -4 2 3'
_cell_length_a 9.692
_cell_length_b 9.692
_cell_length_c 9.692
_cell_angle_alpha 90.00
_cell_angle_beta 90.00
_cell_angle_gamma 90.00
loop_
_atom_site_label
_atom_site_type_symbol
_atom_site_fract_x
_atom_site_fract_y
_atom_site_fract_z
_atom_site_occupancy
Sr1 Sr 0.000 0.000 0.000 1
La1 La 0.119 0.119 0.619 1
Sc1 Sc 0.250 0.250 0.250 1
# formation enthalpy at 0 K: 0.288 eV per atom

2.
# SrLaSc2, optimized geometry, DFT GGA-PBE
data_SrLaSc2
_space_group_name_H-M_alt 'P 1 m 1'
_space_group_IT_number 6
_cell_length_a 3.553
_cell_length_b 5.501
_cell_length_c 7.098
_cell_angle_alpha 90.00
_cell_angle_beta 104.43
_cell_angle_gamma 90.00
loop_
_space_group_symop_operation_xyz
'x,y,z'
'x,-y,z'
loop_
_atom_site_label
_atom_site_type_symbol
_atom_site_fract_x
_atom_site_fract_y
_atom_site_fract_z
_atom_site_occupancy
Sr1 Sr 0.000 0.000 0.000 1
La1 La 0.670 0.500 0.337 1
Sc1 Sc 0.269 0.000 0.533 1
Sc2 Sc 0.378 0.500 0.756 1
# polymorph energy (0 for the lowest one): 67 meV/atom
# formation enthalpy at 0 K: 0.219 eV per atom

3.
# SrLaSc, optimized geometry, DFT GGA-PBE
data_SrLaSc
_space_group_name_H-M_alt 'I 4 m m'
_space_group_IT_number 107
_space_group_name_Hall 'I 4 -2'
_cell_length_a 3.811
_cell_length_b 3.811
_cell_length_c 15.213
_cell_angle_alpha 90.00
_cell_angle_beta 90.00
_cell_angle_gamma 90.00
loop_
_atom_site_label
_atom_site_type_symbol
_atom_site_fract_x
_atom_site_fract_y
_atom_site_fract_z
_atom_site_occupancy
Sr1 Sr 0.000 0.000 0.000 1
La1 La 0.000 0.000 0.303 1
Sc1 Sc 0.000 0.000 0.668 1
# polymorph energy (0 for the lowest one): 62 meV/atom
# formation enthalpy at 0 K: 0.176 eV per atom

4.
# SrLaSc2, optimized geometry, DFT GGA-PBE
data_SrLaSc2
_space_group_name_H-M_alt 'C 1 2/m 1'
_space_group_IT_number 12
_cell_length_a 11.592
_cell_length_b 3.540
_cell_length_c 6.372
_cell_angle_alpha 90.00
_cell_angle_beta 99.38
_cell_angle_gamma 90.00
loop_
_space_group_symop_operation_xyz
'x,y,z'
'-x,-y,-z'
'-x,y,-z'
'x,-y,z'
'x+1/2,y+1/2,z'
'-x+1/2,-y+1/2,-z'
'-x+1/2,y+1/2,-z'
'x+1/2,-y+1/2,z'
loop_
_atom_site_label
_atom_site_type_symbol
_atom_site_fract_x
_atom_site_fract_y
_atom_site_fract_z
_atom_site_occupancy
Sr1 Sr 0.000 0.000 0.000 1
La1 La 0.000 0.500 0.500 1
Sc1 Sc 0.244 0.000 0.724 1
# polymorph energy (0 for the lowest one): 112 meV/atom
# formation enthalpy at 0 K: 0.264 eV per atom